[1]
Computed, not measured: a relaxed YTc3Pb crystal at the PBE-GGA level of DFT.

Unit cell a=4.991 b=4.991 c=4.991 alpha=90.00 beta=90.00 gamma=90.00
Fractional positions:
Pb (0.000, 0.000, 0.000)
Tc (0.000, 0.000, 0.500)
Tc (0.500, 0.000, 0.000)
Tc (0.000, 0.500, 0.000)
Y (0.500, 0.500, 0.500)

Distance to the lowest polymorph of the same formula, meV per atom: 0
Formation energy, meV/atom: 1760



[2]
Computed, not measured: a relaxed Y2TcPb crystal at the PBE-GGA level of DFT.

Unit cell a=3.583 b=3.583 c=7.826 alpha=90.00 beta=90.00 gamma=90.00
Fractional positions:
Pb (0.000, 0.000, 0.546)
Tc (0.500, 0.500, 0.723)
Y (0.500, 0.500, 0.286)
Y (0.000, 0.000, 0.944)

Formation energy, meV/atom: 83



[3]
Computed, not measured: a relaxed Y2TcPb crystal at the PBE-GGA level of DFT.

Unit cell a=8.153 b=8.153 c=8.153 alpha=39.56 beta=155.16 gamma=149.71
Fractional positions:
Pb (0.000, 0.500, 0.500)
Tc (0.000, 0.000, 0.000)
Y (0.000, 0.831, 0.831)
Y (0.000, 0.169, 0.169)

Formation energy, meV/atom: 292



[4]
Computed, not measured: a relaxed Y2TcPb crystal at the PBE-GGA level of DFT.

Unit cell a=4.950 b=4.950 c=3.887 alpha=90.00 beta=90.00 gamma=89.99
Fractional positions:
Pb (0.500, 0.000, 0.500)
Y (0.500, 0.500, 0.000)
Y (0.000, 0.000, 0.000)
Tc (0.000, 0.500, 0.500)

Formation energy, meV/atom: -107



[5]
Computed, not measured: a relaxed YTcPb crystal at the PBE-GGA level of DFT.

Unit cell a=4.861 b=4.861 c=4.861 alpha=60.00 beta=60.00 gamma=60.00
Fractional positions:
Tc (0.500, 0.500, 0.500)
Y (0.750, 0.750, 0.750)
Pb (0.000, 0.000, 0.000)

Distance to the lowest polymorph of the same formula, meV per atom: 924
Formation energy, meV/atom: 949



[6]
Computed, not measured: a relaxed YTcPb2 crystal at the PBE-GGA level of DFT.

Unit cell a=4.920 b=3.684 c=5.773 alpha=71.45 beta=90.00 gamma=90.00
Fractional positions:
Tc (0.000, 0.309, 0.507)
Pb (0.000, 0.042, 0.041)
Pb (0.500, 0.435, 0.254)
Y (0.500, 0.713, 0.698)

Distance to the lowest polymorph of the same formula, meV per atom: 113
Formation energy, meV/atom: 230



[7]
Computed, not measured: a relaxed Y2TcPb crystal at the PBE-GGA level of DFT.

Unit cell a=9.680 b=9.680 c=9.680 alpha=21.05 beta=21.05 gamma=21.05
Fractional positions:
Y (0.487, 0.487, 0.487)
Y (0.013, 0.013, 0.013)
Pb (0.250, 0.250, 0.250)
Tc (0.750, 0.750, 0.750)

Formation energy, meV/atom: -34



[8]
Computed, not measured: a relaxed YTcPb crystal at the PBE-GGA level of DFT.

Unit cell a=4.734 b=4.734 c=3.608 alpha=90.00 beta=90.00 gamma=120.00
Fractional positions:
Y (0.333, 0.667, 0.667)
Pb (0.000, 0.000, 0.167)
Tc (0.667, 0.333, 0.166)

Distance to the lowest polymorph of the same formula, meV per atom: 143
Formation energy, meV/atom: 168



[9]
Computed, not measured: a relaxed YTc3Pb crystal at the PBE-GGA level of DFT.

Unit cell a=4.933 b=4.933 c=4.933 alpha=90.00 beta=90.00 gamma=90.00
Fractional positions:
Tc (0.500, 0.000, 0.000)
Tc (0.000, 0.500, 0.000)
Tc (0.000, 0.000, 0.500)
Pb (0.500, 0.500, 0.500)
Y (0.000, 0.000, 0.000)

Distance to the lowest polymorph of the same formula, meV per atom: 317
Formation energy, meV/atom: 2077



[10]
Computed, not measured: a relaxed YTc4Pb crystal at the PBE-GGA level of DFT.

Unit cell a=5.361 b=5.361 c=5.361 alpha=60.00 beta=60.00 gamma=60.00
Fractional positions:
Pb (0.000, 0.000, 0.000)
Tc (0.374, 0.374, 0.374)
Tc (0.878, 0.374, 0.374)
Tc (0.374, 0.374, 0.878)
Tc (0.374, 0.878, 0.374)
Y (0.750, 0.750, 0.750)

Formation energy, meV/atom: 159



[11]
Computed, not measured: a relaxed YTcPb crystal at the PBE-GGA level of DFT.

Unit cell a=3.491 b=3.491 c=6.741 alpha=90.00 beta=90.00 gamma=120.00
Fractional positions:
Tc (0.667, 0.333, 0.330)
Y (0.333, 0.667, 0.634)
Pb (0.000, 0.000, 0.036)

Distance to the lowest polymorph of the same formula, meV per atom: 257
Formation energy, meV/atom: 282



[12]
Computed, not measured: a relaxed YTcPb2 crystal at the PBE-GGA level of DFT.

Unit cell a=10.130 b=10.130 c=10.130 alpha=19.72 beta=19.72 gamma=19.72
Fractional positions:
Pb (0.234, 0.234, 0.234)
Pb (0.002, 0.002, 0.002)
Y (0.765, 0.765, 0.765)
Tc (0.499, 0.499, 0.499)

Distance to the lowest polymorph of the same formula, meV per atom: 129
Formation energy, meV/atom: 246